1.
Density functional theory data (GGA-PBE) for a relaxed Na2Tl3Pb3 crystal.

## Properties
DOS(E_F)   0.402 states/eV per atom
E   -2.650 eV/atom

Cell: 5.3960 11.2945 16.2753 Å, 90.00 90.00 90.00°
With the nearest neighbours (Å) after each atom.
Space group Cmcm (No. 63)
One atom of each set of equivalent atoms:
Na (0.0000, 0.2239, 0.1337)  4 Tl 3.22-3.47, 3 Pb 3.33-3.49
Tl (0.0000, 0.3765, 0.5511)  3 Na 3.22-3.47, 1 Tl 3.25, 5 Pb 3.43-3.56
Tl (0.0000, 0.4748, 0.2500)  3 Pb 3.31-3.57, 2 Na 3.41, 2 Tl 3.65
Pb (0.0000, 0.0765, 0.5840)  2 Pb 3.22-3.23, 5 Tl 3.43-3.56, 1 Na 3.49
Pb (0.0000, 0.2318, 0.7500)  2 Pb 3.22, 3 Tl 3.31-3.57, 4 Na 3.33

=====

2.
Density functional theory data (GGA-PBE) for a relaxed PrNiGe2Pd crystal.

## Properties
DOS(E_F)   0.554 states/eV per atom
E   -5.731 eV/atom

Cell: 4.2725 4.2725 10.0898 Å, 90.00 90.00 90.00°
With the nearest neighbours (Å) after each atom.
Space group I-4m2 (No. 119)
One atom of each set of equivalent atoms:
Pr (0.0000, 0.0000, 0.0000)  8 Ge 3.28, 4 Ni 3.31, 4 Pd 3.31
Ni (0.0000, 0.5000, 0.7500)  4 Ge 2.47
Ge (0.0000, 0.0000, 0.3734)  2 Ni 2.47, 2 Pd 2.47, 1 Ge 2.55
Pd (0.0000, 0.5000, 0.2500)  4 Ge 2.47

=====

3.
Density functional theory data (GGA-PBE) for a relaxed InCu3 crystal.

## Properties
DOS(E_F)   0.538 states/eV per atom
E   -3.492 eV/atom

Cell: 2.9251 2.9251 24.6687 Å, 90.00 90.00 120.00°
With the nearest neighbours (Å) after each atom.
Space group R-3m (No. 166, hexagonal axes)
One atom of each set of equivalent atoms:
In (0.0000, 0.0000, 0.0000)  6 Cu 2.80, 6 In 2.93
Cu (0.0000, 0.0000, 0.2426)  3 Cu 2.52, 3 In 2.80
Cu (0.0000, 0.0000, 0.5000)  6 Cu 2.52

=====

4.
Density functional theory data (GGA-PBE) for a relaxed K2MnZnBr6 crystal.

## Properties
Raw formation energy   -1148 meV/atom
E   -3.416 eV/atom

Cell: 7.0745 7.0900 7.9048 Å, 116.62 116.49 90.09°
With the nearest neighbours (Å) after each atom.
Space group P1 (No. 1)
One atom of each set of equivalent atoms:
K (0.0000, 0.0000, 0.0000)  8 Br 3.47-3.75
K (0.5001, 0.4975, 0.9997)  8 Br 3.47-3.74
Mn (0.7818, 0.2796, 0.5607)  5 Br 2.51-2.66
Zn (0.2870, 0.7839, 0.5718)  5 Br 2.45-2.63
Br (0.0545, 0.0479, 0.4796)  1 Zn 2.63, 1 Mn 2.65
Br (0.4269, 0.4271, 0.4748)  1 Zn 2.63, 1 Mn 2.64
Br (0.4866, 0.9823, 0.9726)  1 Zn 2.45
Br (0.5500, 0.9243, 0.4800)  1 Zn 2.61, 1 Mn 2.66
Br (0.9312, 0.5492, 0.4737)  1 Zn 2.61, 1 Mn 2.66
Br (0.9866, 0.4872, 0.9709)  1 Mn 2.51

=====

5.
Density functional theory data (GGA-PBE) for a relaxed CsZrRhS3 crystal.

## Properties
Raw formation energy   -1195 meV/atom
DOS(E_F)   0.356 states/eV per atom
E   -6.051 eV/atom

Cell: 9.1161 3.7924 9.7749 Å, 90.00 114.61 90.00°
With the nearest neighbours (Å) after each atom.
Space group P2_1/m (No. 11)
One atom of each set of equivalent atoms:
Cs (0.2268, 0.2500, 0.2514)  7 S 3.46-3.57, 2 Cs 3.79
Zr (0.3146, 0.7500, 0.8427)  6 S 2.57-2.66
Rh (0.0903, 0.2500, 0.5985)  4 S 2.32-2.53
S (0.1323, 0.2500, 0.8621)  1 Rh 2.44, 2 Zr 2.58
S (0.2114, 0.7500, 0.5543)  3 Rh 2.32-2.53, 1 Zr 2.57
S (0.4764, 0.7500, 0.1411)  3 Zr 2.65-2.66

=====

6.
Density functional theory data (GGA-PBE) for a relaxed Nd4Tm3Cd crystal.

## Properties
DOS(E_F)   1.400 states/eV per atom
E   -4.230 eV/atom

Cell: 3.6381 3.6381 19.1673 Å, 90.00 90.00 90.00°
With the nearest neighbours (Å) after each atom.
Space group P4/mmm (No. 123)
One atom of each set of equivalent atoms:
Nd (0.0000, 0.0000, 0.1118)  4 Cd 3.35, 4 Tm 3.59, 4 Nd 3.64
Nd (0.0000, 0.0000, 0.3715)  8 Tm 3.56-3.57, 4 Nd 3.64
Tm (0.5000, 0.5000, 0.2421)  8 Nd 3.57-3.59, 4 Tm 3.64
Tm (0.5000, 0.5000, 0.5000)  8 Nd 3.56, 4 Tm 3.64
Cd (0.5000, 0.5000, 0.0000)  8 Nd 3.35, 4 Cd 3.64

=====

7.
Density functional theory data (GGA-PBE) for a relaxed KPrSbAu crystal.

## Properties
Raw formation energy   -585 meV/atom
E   -3.904 eV/atom

Cell: 7.7803 7.7803 7.7803 Å, 90.00 90.00 90.00°
With the nearest neighbours (Å) after each atom.
Space group F-43m (No. 216)
One atom of each set of equivalent atoms:
K (0.0000, 0.0000, 0.0000)  4 Sb 3.37, 4 Au 3.37
Pr (0.0000, 0.0000, 0.5000)  4 Au 3.37, 4 Sb 3.37
Sb (0.2500, 0.2500, 0.7500)  4 Pr 3.37, 4 K 3.37
Au (0.2500, 0.2500, 0.2500)  4 K 3.37, 4 Pr 3.37

=====

8.
Density functional theory data (GGA-PBE) for a relaxed Sm3Y2Ho8 crystal.

## Properties
DOS(E_F)   1.762 states/eV per atom
E   -4.653 eV/atom

Cell: 20.1576 7.6661 5.6122 Å, 90.00 90.05 90.00°
With the nearest neighbours (Å) after each atom.
Space group C2/m (No. 12)
One atom of each set of equivalent atoms:
Sm (0.0000, 0.0000, 0.0000)  4 Ho 3.12
Sm (0.0000, 0.2899, 0.5000)  3 Sm 3.22-3.58, 6 Ho 3.49-3.56
Y (0.2413, 0.0000, 0.9985)  8 Ho 3.35-3.56
Ho (0.1084, 0.2901, 0.0005)  1 Sm 3.12, 3 Ho 3.22-3.46, 2 Y 3.43-3.48
Ho (0.1334, 0.0000, 0.4995)  4 Sm 3.49-3.89, 2 Y 3.54-3.56, 6 Ho 3.61-3.90
Ho (0.1683, 0.5000, 0.5013)  2 Y 3.35, 4 Ho 3.45-3.46

=====

9.
Density functional theory data (GGA-PBE) for a relaxed GeRhO3 crystal.

## Properties
Raw formation energy   -425 meV/atom
DOS(E_F)   0.744 states/eV per atom
E   -5.793 eV/atom

Cell: 3.7250 3.7250 3.7250 Å, 90.00 90.00 90.00°
With the nearest neighbours (Å) after each atom.
Space group Pm-3m (No. 221)
One atom of each set of equivalent atoms:
Ge (0.0000, 0.0000, 0.0000)  6 O 1.86
Rh (0.5000, 0.5000, 0.5000)  12 O 2.63
O (0.0000, 0.0000, 0.5000)  2 Ge 1.86

=====

10.
Density functional theory data (GGA-PBE) for a relaxed Ba6Sr2Ca crystal.

## Properties
DOS(E_F)   1.517 states/eV per atom
E   -1.829 eV/atom

Cell: 4.3297 4.3297 32.7824 Å, 90.00 90.00 120.00°
With the nearest neighbours (Å) after each atom.
Space group P-6m2 (No. 187)
One atom of each set of equivalent atoms:
Ba (0.0000, 0.0000, 0.0618)  7 Ba 4.05-4.33, 3 Sr 4.40
Ba (0.0000, 0.0000, 0.2826)  9 Ba 4.33-4.48, 3 Sr 4.40
Ba (0.3333, 0.6667, 0.3960)  3 Ca 4.23, 9 Ba 4.33-4.48
Sr (0.3333, 0.6667, 0.1723)  6 Sr 4.33, 6 Ba 4.40
Ca (0.0000, 0.0000, 0.5000)  6 Ba 4.23, 6 Ca 4.33

=====

11.
Density functional theory data (GGA-PBE) for a relaxed Mg3ZrTl crystal.

## Properties
DOS(E_F)   0.774 states/eV per atom
E   -2.414 eV/atom

Cell: 5.1922 5.1922 5.1922 Å, 90.00 90.00 90.00°
With the nearest neighbours (Å) after each atom.
Space group Pm-3m (No. 221)
One atom of each set of equivalent atoms:
Mg (0.0000, 0.0000, 0.5000)  2 Tl 2.60
Zr (0.5000, 0.5000, 0.5000)  12 Mg 3.67
Tl (0.0000, 0.0000, 0.0000)  6 Mg 2.60

=====

12.
Density functional theory data (GGA-PBE) for a relaxed Sr3Al crystal.

## Properties
DOS(E_F)   0.930 states/eV per atom
E   -2.244 eV/atom

Cell: 4.0543 4.0543 10.2809 Å, 90.00 90.00 90.00°
With the nearest neighbours (Å) after each atom.
Space group P4/mmm (No. 123)
One atom of each set of equivalent atoms:
Sr (0.0000, 0.0000, 0.0000)  12 Sr 4.05-4.34
Sr (0.5000, 0.5000, 0.3171)  4 Al 3.43, 1 Sr 3.76
Al (0.0000, 0.0000, 0.5000)  8 Sr 3.43